Record 1
This record from the Alexandria database describes crystalline Ca2CoSn at its relaxed geometry. The functional is GGA-PBE.

abc: 7.627 7.627 7.627
angles: 95.79 95.79 142.98
Element x y z (fractional)
Ca 0.375 0.208 0.333
Ca 0.792 0.125 0.167
Ca 0.875 0.042 0.667
Ca 0.958 0.625 0.833
Co 0.000 0.000 0.000
Co 0.750 0.250 0.500
Sn 0.250 0.750 0.500
Sn 0.500 0.500 0.000

Results
As for the mass density: 3.380 g cm⁻³. Its density of states at the Fermi level is 2.02 states/eV/f.u. The calculation puts the energy above the most stable polymorph in this dataset at 0.039 eV/atom. Its space group is I-42d, No. 122. As for the total energy: -15.296 eV per formula unit.

Record 2
This record from the Alexandria database describes crystalline CaCo2Sn4 at its relaxed geometry. The functional is GGA-PBE.

abc: 18.368 4.324 7.083
angles: 90.00 90.00 90.00
Element x y z (fractional)
Ca 0.142 0.250 0.003
Ca 0.358 0.750 0.503
Ca 0.642 0.250 0.497
Ca 0.858 0.750 0.997
Co 0.037 0.750 0.256
Co 0.215 0.250 0.519
Co 0.285 0.750 0.019
Co 0.463 0.250 0.756
Co 0.537 0.750 0.244
Co 0.715 0.250 0.981
Co 0.785 0.750 0.481
Co 0.963 0.250 0.744
Sn 0.030 0.750 0.866
Sn 0.070 0.250 0.491
Sn 0.181 0.750 0.303
Sn 0.197 0.750 0.726
Sn 0.303 0.250 0.226
Sn 0.319 0.250 0.803
Sn 0.430 0.750 0.991
Sn 0.470 0.250 0.366
Sn 0.530 0.750 0.634
Sn 0.570 0.250 0.009
Sn 0.681 0.750 0.197
Sn 0.697 0.750 0.774
Sn 0.803 0.250 0.274
Sn 0.819 0.250 0.697
Sn 0.930 0.750 0.509
Sn 0.970 0.250 0.134

Results
As for the mass density: 7.471 g cm⁻³. Its density of states at the Fermi level is 2.83 states/eV/f.u. Its space group is Pnma, No. 62. As for the total energy: -33.922 eV per formula unit.

Please write out number 2 again, unchanged.
This record from the Alexandria database describes crystalline CaCo2Sn4 at its relaxed geometry. The functional is GGA-PBE.

abc: 18.368 4.324 7.083
angles: 90.00 90.00 90.00
Element x y z (fractional)
Ca 0.142 0.250 0.003
Ca 0.358 0.750 0.503
Ca 0.642 0.250 0.497
Ca 0.858 0.750 0.997
Co 0.037 0.750 0.256
Co 0.215 0.250 0.519
Co 0.285 0.750 0.019
Co 0.463 0.250 0.756
Co 0.537 0.750 0.244
Co 0.715 0.250 0.981
Co 0.785 0.750 0.481
Co 0.963 0.250 0.744
Sn 0.030 0.750 0.866
Sn 0.070 0.250 0.491
Sn 0.181 0.750 0.303
Sn 0.197 0.750 0.726
Sn 0.303 0.250 0.226
Sn 0.319 0.250 0.803
Sn 0.430 0.750 0.991
Sn 0.470 0.250 0.366
Sn 0.530 0.750 0.634
Sn 0.570 0.250 0.009
Sn 0.681 0.750 0.197
Sn 0.697 0.750 0.774
Sn 0.803 0.250 0.274
Sn 0.819 0.250 0.697
Sn 0.930 0.750 0.509
Sn 0.970 0.250 0.134

Results
As for the mass density: 7.471 g cm⁻³. Its density of states at the Fermi level is 2.83 states/eV/f.u. Its space group is Pnma, No. 62. As for the total energy: -33.922 eV per formula unit.

What is the mass density in the first record? 3.380 g cm⁻³